A plane-wave DFT calculation with PBE-GGA was carried out for a relaxed USnSb2 crystal.

It has space group P4/mmm (No. 123), with a = 4.032 Å, b = 4.032 Å, c = 6.451 Å, α = 90.00°, β = 90.00° and γ = 90.00°. The distinct sites, in fractional coordinates, are U at (0.000, 0.000, 0.000), Sn at (0.000, 0.000, 0.500) and Sb at (0.500, 0.500, 0.237).

The calculation puts the total energy at -6.0206 eV/atom. The volume comes out at 104.9 Å³/cell.


A plane-wave DFT calculation with PBE-GGA was carried out for a relaxed USnSb2 crystal.

It has space group P4/mmm (No. 123), with a = 4.941 Å, b = 4.941 Å, c = 4.170 Å, α = 90.00°, β = 90.00° and γ = 90.00°. The distinct sites, in fractional coordinates, are U at (0.000, 0.000, 0.000), Sn at (0.500, 0.500, 0.000) and Sb at (0.000, 0.500, 0.500).

The calculation puts the total energy at -6.0341 eV/atom. The volume comes out at 101.8 Å³/cell.


A plane-wave DFT calculation with PBE-GGA was carried out for a relaxed USnSb crystal.

It has space group Cmcm (No. 63), with a = 4.251 Å, b = 16.195 Å, c = 4.475 Å, α = 90.00°, β = 90.00° and γ = 90.00°. The distinct sites, in fractional coordinates, are U at (0.000, 0.093, 0.250), Sn at (0.000, 0.249, 0.750) and Sb at (0.000, 0.427, 0.250).

The calculation puts the total energy at -6.6583 eV/atom. The volume comes out at 308.1 Å³/cell.


A plane-wave DFT calculation with PBE-GGA was carried out for a relaxed U2SnSb3 crystal.

It has space group P-4m2 (No. 115), with a = 4.310 Å, b = 4.310 Å, c = 8.655 Å, α = 90.00°, β = 90.00° and γ = 90.00°. The distinct sites, in fractional coordinates, are U at (0.000, 0.500, 0.212), Sn at (0.000, 0.000, 0.500), Sb at (0.000, 0.500, 0.851) and Sb at (0.500, 0.500, 0.500).

The calculation puts the total energy at -6.7103 eV/atom. The volume comes out at 160.8 Å³/cell.


A plane-wave DFT calculation with PBE-GGA was carried out for a relaxed U2SnSb4 crystal.

It has space group P-4m2 (No. 115), with a = 4.294 Å, b = 4.294 Å, c = 10.957 Å, α = 90.00°, β = 90.00° and γ = 90.00°. The distinct sites, in fractional coordinates, are U at (0.000, 0.500, 0.222), Sn at (0.000, 0.000, 0.500), Sb at (0.000, 0.000, 0.000), Sb at (0.000, 0.500, 0.707) and Sb at (0.500, 0.500, 0.000).

The calculation puts the total energy at -6.2597 eV/atom. The volume comes out at 202.0 Å³/cell.


A plane-wave DFT calculation with PBE-GGA was carried out for a relaxed USnSb crystal.

It has space group P-6m2 (No. 187), with a = 5.3737 Å, b = 5.3737 Å, c = 3.0697 Å, α = 90.00°, β = 90.00° and γ = 120.00°. The distinct sites, in fractional coordinates, are U at (0.0000, 0.0000, 0.0000), Sn at (0.3333, 0.6667, 0.5000) and Sb at (0.6667, 0.3333, 0.5000).

The calculation puts the total energy at -6.4163 eV/atom. The volume comes out at 76.8 Å³/cell.